[1]
SrPBr2: relaxed, PBE.

Cell: 7.8320 7.8320 4.2289 Å, 90.07 90.07 28.55°
Sites, in units of the cell vectors:
1 Sr 0.0000 0.0000 0.0000
2 P 0.6626 0.6626 0.0007
3 Br 0.1593 0.1593 0.5008
4 Br 0.4180 0.4180 0.4995

Calculated values
VASP energy = -3.422 eV per atom

[2]
MgSiAs3: relaxed, PBE.

Cell: 4.8113 4.8113 4.8113 Å, 90.00 90.00 90.00°
Sites, in units of the cell vectors:
1 Mg 0.0000 0.0000 0.0000
2 Si 0.5000 0.5000 0.5000
3 As 0.0000 0.5000 0.5000
4 As 0.5000 0.0000 0.5000
5 As 0.5000 0.5000 0.0000

Calculated values
VASP energy = -3.727 eV per atom

[3]
NiHg2Mo: relaxed, PBE.

Cell: 4.9015 4.9015 2.9074 Å, 90.00 90.00 90.00°
Sites, in units of the cell vectors:
1 Ni 0.0000 0.0000 0.0000
2 Hg 0.0000 0.5000 0.5000
3 Hg 0.5000 0.0000 0.5000
4 Mo 0.5000 0.5000 0.0000

Calculated values
E_form = 612.8 meV per atom

[4]
InPO4: relaxed, PBE.

Cell: 9.0065 7.0312 4.9009 Å, 90.00 90.00 90.00°
Sites, in units of the cell vectors:
1 In 0.0000 0.0000 0.0000
2 In 0.0000 0.5000 0.0000
3 In 0.5000 0.0000 0.5000
4 In 0.5000 0.5000 0.5000
5 P 0.1762 0.2500 0.4798
6 P 0.3238 0.7500 0.9798
7 P 0.6762 0.2500 0.0202
8 P 0.8238 0.7500 0.5202
9 O 0.1206 0.2500 0.7835
10 O 0.1252 0.0650 0.3442
11 O 0.1252 0.4350 0.3442
12 O 0.1482 0.7500 0.9612
13 O 0.3518 0.2500 0.4612
14 O 0.3748 0.5650 0.8442
15 O 0.3748 0.9350 0.8442
16 O 0.3794 0.7500 0.2835
17 O 0.6206 0.2500 0.7165
18 O 0.6252 0.0650 0.1558
19 O 0.6252 0.4350 0.1558
20 O 0.6482 0.7500 0.5388
21 O 0.8518 0.2500 0.0388
22 O 0.8748 0.5650 0.6558
23 O 0.8748 0.9350 0.6558
24 O 0.8794 0.7500 0.2165

Calculated values
VASP energy = -6.669 eV per atom

Number 1: density of states at the Fermi level 0.199 states/eV/atom. Number 2: density of states at the Fermi level 0.969 states/eV/atom. Number 3: density of states at the Fermi level 0.890 states/eV/atom. Number 4: density of states at the Fermi level 0.000 states/eV/atom.